Entry 1:
Here is a relaxed HgTe2F4 crystal from the Alexandria database. Energies are from PBE.

Properties
Space group = I4/mmm (139)
Total moment = 1.9 μB per formula unit
Calculated density = 5.377 g/cm³
Formation energy from raw total energies = -854.9 meV per atom

a b c (Å): 4.5071 4.5071 8.6899
angles (deg): 74.97 74.97 90.00
Last column: nearest neighbours and their distance in Å.
Fractional coordinates of all 7 atoms:
1 Te 0.3561 0.3561 0.2878  1 F 1.95
2 Te 0.6439 0.6439 0.7122  1 F 1.95
3 Hg 0.0000 0.0000 0.0000  4 F 2.25
4 F 0.2353 0.2353 0.5295  1 Te 1.95
5 F 0.5000 0.0000 0.0000  2 Hg 2.25
6 F 0.0000 0.5000 0.0000  2 Hg 2.25
7 F 0.7647 0.7647 0.4705  1 Te 1.95


Entry 2:
Here is a relaxed HgTe2F crystal from the Alexandria database. Energies are from PBE.

Properties
Space group = R-3m (166)
Total moment = 0.0 μB per formula unit
Calculated density = 8.342 g/cm³
Formation energy from raw total energies = -328.3 meV per atom
Distance to the lowest polymorph of the same formula = 50 meV per atom

a b c (Å): 9.9672 9.9672 9.9672
angles (deg): 19.29 19.29 19.29
Last column: nearest neighbours and their distance in Å.
Fractional coordinates of all 4 atoms:
1 Te 0.9044 0.9044 0.9044  1 Hg 2.81, 3 F 2.84
2 Te 0.0956 0.0956 0.0956  1 Hg 2.81, 3 F 2.84
3 F 0.5000 0.5000 0.5000  6 Te 2.84
4 Hg 0.0000 0.0000 0.0000  2 Te 2.81


Entry 3:
Here is a relaxed HgTeF3 crystal from the Alexandria database. Energies are from PBE.

Properties
Space group = Pm-3m (221)
Total moment = 0.0 μB per formula unit
Calculated density = 6.693 g/cm³
Formation energy from raw total energies = -1184.8 meV per atom
Distance to the lowest polymorph of the same formula = 0 meV per atom

a b c (Å): 4.5719 4.5719 4.5719
angles (deg): 90.00 90.00 90.00
Last column: nearest neighbours and their distance in Å.
Fractional coordinates of all 5 atoms:
1 Te 0.0000 0.0000 0.0000  6 F 2.29
2 Hg 0.5000 0.5000 0.5000  12 F 3.23
3 F 0.0000 0.5000 0.0000  2 Te 2.29
4 F 0.0000 0.0000 0.5000  2 Te 2.29
5 F 0.5000 0.0000 0.0000  2 Te 2.29


Entry 4:
Here is a relaxed HgTeF6 crystal from the Alexandria database. Energies are from PBE.

Properties
Space group = C2/m (12)
Total moment = 0.0 μB per formula unit
Calculated density = 5.333 g/cm³
Formation energy from raw total energies = -1795.9 meV per atom
Distance to the lowest polymorph of the same formula = 32 meV per atom

a b c (Å): 5.6444 5.6988 5.2153
angles (deg): 56.88 83.74 78.49
Last column: nearest neighbours and their distance in Å.
Fractional coordinates of all 8 atoms:
1 F 0.2668 0.5646 0.3062  1 Te 2.10
2 F 0.2668 0.8707 0.6938  1 Te 2.10
3 F 0.7332 0.4354 0.6938  1 Te 2.10
4 F 0.7254 0.7453 0.0000  1 Te 2.07
5 F 0.7332 0.1293 0.3062  1 Te 2.10
6 F 0.2746 0.2547 0.0000  1 Te 2.07
7 Hg 0.0000 0.0000 0.0000  6 F 2.33-2.38
8 Te 0.5000 0.5000 0.0000  6 F 2.07-2.10


Entry 5:
Here is a relaxed Hg2TeF crystal from the Alexandria database. Energies are from PBE.

Properties
Space group = Fm-3m (225)
Total moment = 0.0 μB per formula unit
Calculated density = 10.259 g/cm³
Formation energy from raw total energies = -427.6 meV per atom
Distance to the lowest polymorph of the same formula = 205 meV per atom

a b c (Å): 5.0051 5.0051 5.0051
angles (deg): 60.00 60.00 60.00
Last column: nearest neighbours and their distance in Å.
Fractional coordinates of all 4 atoms:
1 Hg 0.7500 0.7500 0.7500  4 F 3.07, 4 Te 3.07
2 Hg 0.2500 0.2500 0.2500  4 F 3.07, 4 Te 3.07
3 F 0.0000 0.0000 0.0000  8 Hg 3.07
4 Te 0.5000 0.5000 0.5000  8 Hg 3.07


Entry 6:
Here is a relaxed Hg2TeF crystal from the Alexandria database. Energies are from PBE.

Properties
Space group = P1 (1)
Total moment = 0.0 μB per formula unit
Calculated density = 7.616 g/cm³
Formation energy from raw total energies = -628.4 meV per atom
Distance to the lowest polymorph of the same formula = 4 meV per atom

a b c (Å): 5.8763 6.3337 7.2084
angles (deg): 63.98 83.39 83.41
Last column: nearest neighbours and their distance in Å.
Fractional coordinates of all 8 atoms:
1 Te 0.2313 0.7488 0.2494  2 Hg 2.73-2.79, 1 Te 2.97
2 Te 0.6596 0.5148 0.1425  1 F 2.20
3 F 0.3549 0.1222 0.5959  3 Hg 2.49-2.55
4 F 0.9804 0.3254 0.0927  1 Te 2.20
5 Hg 0.7231 0.7257 0.6122  1 F 3.09, 3 Hg 3.09-3.39, 1 Te 3.44
6 Hg 0.7496 0.2566 0.5728  1 F 2.52, 1 Hg 2.69
7 Hg 0.0369 0.0223 0.8742  1 F 2.49, 1 Hg 2.69, 1 Te 2.79
8 Hg 0.4063 0.1370 0.2341  2 F 2.55-2.75, 2 Te 2.73-2.75


Entry 7:
Here is a relaxed Hg2TeF crystal from the Alexandria database. Energies are from PBE.

Properties
Space group = P1 (1)
Total moment = 0.0 μB per formula unit
Calculated density = 8.240 g/cm³
Formation energy from raw total energies = -595.5 meV per atom
Distance to the lowest polymorph of the same formula = 37 meV per atom

a b c (Å): 5.6222 6.5173 6.5845
angles (deg): 109.92 101.22 92.76
Last column: nearest neighbours and their distance in Å.
Fractional coordinates of all 8 atoms:
1 Hg 0.5614 0.3558 0.7200  1 F 2.51
2 Hg 0.8892 0.9623 0.8251  3 Hg 3.06-3.41, 1 F 3.34
3 Hg 0.5712 0.8526 0.2531  1 F 2.48, 2 Te 2.74-2.76
4 Hg 0.3228 0.7381 0.6738  1 F 2.58
5 Te 0.3767 0.4167 0.1057  1 F 2.14
6 Te 0.7968 0.2702 0.3648  2 Hg 2.74-2.81, 1 Te 3.03
7 F 0.0655 0.5334 0.9568  1 Te 2.14
8 F 0.2740 0.0181 0.4745  3 Hg 2.48-2.58


Entry 8:
Here is a relaxed Hg2TeF5 crystal from the Alexandria database. Energies are from PBE.

Properties
Space group = P1 (1)
Total moment = 0.0 μB per formula unit
Calculated density = 5.998 g/cm³
Formation energy from raw total energies = -1652.4 meV per atom

a b c (Å): 5.2930 5.9814 6.2247
angles (deg): 83.95 64.57 76.00
Last column: nearest neighbours and their distance in Å.
Fractional coordinates of all 8 atoms:
1 Te 0.9710 0.9705 0.0006  5 F 1.91-2.03
2 F 0.8403 0.9897 0.3516  1 Te 2.00
3 F 0.2566 0.1151 0.9975  1 Te 1.91
4 F 0.2681 0.6821 0.9999  1 Te 2.03
5 F 0.7625 0.3008 0.0011  1 Te 2.02
6 F 0.1890 0.9892 0.6486  1 Te 2.00
7 Hg 0.6862 0.4760 0.5630  2 Hg 2.74, 2 F 2.83-2.97
8 Hg 0.2494 0.4765 0.4377  2 Hg 2.74, 2 F 2.84-2.96


What is the calculated density in the fourth record? 5.333 g/cm³